# Sc3BeRh2

A geometry-optimized Sc3BeRh2 structure (PBE, Alexandria via LeMat-Bulk).

Unit cell a=3.207 b=3.207 c=9.652 alpha=90.00 beta=90.00 gamma=90.00
Space group P4/mmm (No. 123)
Symmetry-distinct sites (fractional):
Sc  0.000  0.000  0.000 [1 per cell]
Sc  0.000  0.000  0.339 [2 per cell]
Be  0.500  0.500  0.500 [1 per cell]
Rh  0.500  0.500  0.170 [2 per cell]

Output
Its final energy is -6.9297 eV per atom. For the density of states at the Fermi level, the calculation gives 3.1 states/eV/cell.